Version 1
# IrPtRh2, optimized geometry, DFT PBEsol
data_IrPtRh2
_cell_length_a 2.697
_cell_length_b 2.697
_cell_length_c 7.679
_cell_angle_alpha 90.00
_cell_angle_beta 90.00
_cell_angle_gamma 90.00
_symmetry_space_group_name_H-M 'P 1'
_symmetry_Int_Tables_number 1
loop_
_symmetry_equiv_pos_as_xyz
'x,y,z'
loop_
_atom_site_label
_atom_site_type_symbol
_atom_site_fract_x
_atom_site_fract_y
_atom_site_fract_z
_atom_site_occupancy
Ir1 Ir 0.500 0.500 0.000 1
Rh1 Rh 0.000 0.000 0.759 1
Rh2 Rh 0.000 0.000 0.241 1
Pt1 Pt 0.500 0.500 0.500 1
# - density of states at the Fermi level (states/eV/cell) = 4.41


Version 2
# IrPtRh2, optimized geometry, DFT PBEsol
data_IrPtRh2
_cell_length_a 2.705
_cell_length_b 4.684
_cell_length_c 4.679
_cell_angle_alpha 99.53
_cell_angle_beta 106.80
_cell_angle_gamma 90.00
_symmetry_space_group_name_H-M 'P 1'
_symmetry_Int_Tables_number 1
loop_
_symmetry_equiv_pos_as_xyz
'x,y,z'
loop_
_atom_site_label
_atom_site_type_symbol
_atom_site_fract_x
_atom_site_fract_y
_atom_site_fract_z
_atom_site_occupancy
Ir1 Ir 0.500 0.000 0.000 1
Rh1 Rh 0.247 0.244 0.494 1
Rh2 Rh 0.753 0.756 0.506 1
Pt1 Pt 0.000 0.500 0.000 1
# - density of states at the Fermi level (states/eV/cell) = 4.53


Version 3
# IrPtRh2, optimized geometry, DFT PBEsol
data_IrPtRh2
_cell_length_a 2.705
_cell_length_b 3.823
_cell_length_c 5.404
_cell_angle_alpha 90.00
_cell_angle_beta 90.00
_cell_angle_gamma 90.00
_symmetry_space_group_name_H-M 'P 1'
_symmetry_Int_Tables_number 1
loop_
_symmetry_equiv_pos_as_xyz
'x,y,z'
loop_
_atom_site_label
_atom_site_type_symbol
_atom_site_fract_x
_atom_site_fract_y
_atom_site_fract_z
_atom_site_occupancy
Ir1 Ir 0.000 0.000 0.493 1
Rh1 Rh 0.000 0.000 0.004 1
Rh2 Rh 0.500 0.500 0.253 1
Pt1 Pt 0.500 0.500 0.750 1
# - density of states at the Fermi level (states/eV/cell) = 5.07


Version 4
# IrPtRh2, optimized geometry, DFT PBEsol
data_IrPtRh2
_cell_length_a 2.708
_cell_length_b 2.708
_cell_length_c 8.953
_cell_angle_alpha 81.30
_cell_angle_beta 81.30
_cell_angle_gamma 60.00
_symmetry_space_group_name_H-M 'P 1'
_symmetry_Int_Tables_number 1
loop_
_symmetry_equiv_pos_as_xyz
'x,y,z'
loop_
_atom_site_label
_atom_site_type_symbol
_atom_site_fract_x
_atom_site_fract_y
_atom_site_fract_z
_atom_site_occupancy
Ir1 Ir 0.498 0.498 0.506 1
Rh1 Rh 0.002 0.002 0.994 1
Rh2 Rh 0.750 0.750 0.750 1
Pt1 Pt 0.250 0.250 0.249 1
# - density of states at the Fermi level (states/eV/cell) = 5.12


Most stable: version 1 (next structure +35 meV per atom)


Version 1
# IrPtRh2, optimized geometry, DFT PBEsol
data_IrPtRh2
_cell_length_a 2.702
_cell_length_b 4.682
_cell_length_c 4.682
_cell_angle_alpha 109.51
_cell_angle_beta 90.00
_cell_angle_gamma 90.00
_symmetry_space_group_name_H-M 'P 1'
_symmetry_Int_Tables_number 1
loop_
_symmetry_equiv_pos_as_xyz
'x,y,z'
loop_
_atom_site_label
_atom_site_type_symbol
_atom_site_fract_x
_atom_site_fract_y
_atom_site_fract_z
_atom_site_occupancy
Ir1 Ir 0.500 0.000 0.000 1
Rh1 Rh 0.000 0.500 0.000 1
Rh2 Rh 0.000 0.000 0.500 1
Pt1 Pt 0.500 0.500 0.500 1
# - density of states at the Fermi level (states/eV/cell) = 5.69


Version 2
# IrPtRh2, optimized geometry, DFT PBEsol
data_IrPtRh2
_cell_length_a 3.819
_cell_length_b 3.819
_cell_length_c 4.683
_cell_angle_alpha 114.06
_cell_angle_beta 114.06
_cell_angle_gamma 90.00
_symmetry_space_group_name_H-M 'P 1'
_symmetry_Int_Tables_number 1
loop_
_symmetry_equiv_pos_as_xyz
'x,y,z'
loop_
_atom_site_label
_atom_site_type_symbol
_atom_site_fract_x
_atom_site_fract_y
_atom_site_fract_z
_atom_site_occupancy
Ir1 Ir 0.500 0.500 0.000 1
Rh1 Rh 0.750 0.250 0.500 1
Rh2 Rh 0.250 0.750 0.500 1
Pt1 Pt 0.000 0.000 0.000 1
# - density of states at the Fermi level (states/eV/cell) = 4.37


Version 3
# IrPtRh2, optimized geometry, DFT PBEsol
data_IrPtRh2
_cell_length_a 2.702
_cell_length_b 2.702
_cell_length_c 7.655
_cell_angle_alpha 90.00
_cell_angle_beta 90.00
_cell_angle_gamma 90.00
_symmetry_space_group_name_H-M 'P 1'
_symmetry_Int_Tables_number 1
loop_
_symmetry_equiv_pos_as_xyz
'x,y,z'
loop_
_atom_site_label
_atom_site_type_symbol
_atom_site_fract_x
_atom_site_fract_y
_atom_site_fract_z
_atom_site_occupancy
Ir1 Ir 0.000 0.000 0.492 1
Rh1 Rh 0.000 0.000 0.007 1
Rh2 Rh 0.500 0.500 0.251 1
Pt1 Pt 0.500 0.500 0.750 1
# - density of states at the Fermi level (states/eV/cell) = 5.15


Version 4
# IrPtRh2, optimized geometry, DFT PBEsol
data_IrPtRh2
_cell_length_a 2.704
_cell_length_b 2.704
_cell_length_c 8.971
_cell_angle_alpha 81.33
_cell_angle_beta 81.33
_cell_angle_gamma 60.00
_symmetry_space_group_name_H-M 'P 1'
_symmetry_Int_Tables_number 1
loop_
_symmetry_equiv_pos_as_xyz
'x,y,z'
loop_
_atom_site_label
_atom_site_type_symbol
_atom_site_fract_x
_atom_site_fract_y
_atom_site_fract_z
_atom_site_occupancy
Ir1 Ir 0.500 0.500 0.500 1
Rh1 Rh 0.248 0.248 0.256 1
Rh2 Rh 0.752 0.752 0.744 1
Pt1 Pt 0.000 0.000 0.000 1
# - density of states at the Fermi level (states/eV/cell) = 4.44


Most stable: version 4 (next structure +10 meV per atom)


Version 1
# IrPtRh2, optimized geometry, DFT PBEsol
data_IrPtRh2
_cell_length_a 2.706
_cell_length_b 4.676
_cell_length_c 4.684
_cell_angle_alpha 99.60
_cell_angle_beta 90.00
_cell_angle_gamma 106.82
_symmetry_space_group_name_H-M 'P 1'
_symmetry_Int_Tables_number 1
loop_
_symmetry_equiv_pos_as_xyz
'x,y,z'
loop_
_atom_site_label
_atom_site_type_symbol
_atom_site_fract_x
_atom_site_fract_y
_atom_site_fract_z
_atom_site_occupancy
Ir1 Ir 0.502 0.004 0.506 1
Rh1 Rh 0.998 0.997 0.998 1
Rh2 Rh 0.248 0.497 0.747 1
Pt1 Pt 0.751 0.502 0.250 1
# - density of states at the Fermi level (states/eV/cell) = 4.94


Version 2
# IrPtRh2, optimized geometry, DFT PBEsol
data_IrPtRh2
_cell_length_a 2.704
_cell_length_b 3.816
_cell_length_c 5.411
_cell_angle_alpha 90.00
_cell_angle_beta 90.00
_cell_angle_gamma 90.00
_symmetry_space_group_name_H-M 'P 1'
_symmetry_Int_Tables_number 1
loop_
_symmetry_equiv_pos_as_xyz
'x,y,z'
loop_
_atom_site_label
_atom_site_type_symbol
_atom_site_fract_x
_atom_site_fract_y
_atom_site_fract_z
_atom_site_occupancy
Ir1 Ir 0.500 0.500 0.000 1
Rh1 Rh 0.000 0.000 0.757 1
Rh2 Rh 0.000 0.000 0.243 1
Pt1 Pt 0.500 0.500 0.500 1
# - density of states at the Fermi level (states/eV/cell) = 4.51


Most stable: version 2 (next structure +25 meV per atom)


Version 1
# IrPt2Rh, optimized geometry, DFT PBEsol
data_IrPt2Rh
_cell_length_a 2.737
_cell_length_b 2.737
_cell_length_c 7.662
_cell_angle_alpha 90.00
_cell_angle_beta 90.00
_cell_angle_gamma 90.00
_symmetry_space_group_name_H-M 'P 1'
_symmetry_Int_Tables_number 1
loop_
_symmetry_equiv_pos_as_xyz
'x,y,z'
loop_
_atom_site_label
_atom_site_type_symbol
_atom_site_fract_x
_atom_site_fract_y
_atom_site_fract_z
_atom_site_occupancy
Ir1 Ir 0.500 0.500 0.500 1
Rh1 Rh 0.500 0.500 0.000 1
Pt1 Pt 0.000 0.000 0.750 1
Pt2 Pt 0.000 0.000 0.250 1
# - density of states at the Fermi level (states/eV/cell) = 6.07


Version 2
# IrPt2Rh, optimized geometry, DFT PBEsol
data_IrPt2Rh
_cell_length_a 2.732
_cell_length_b 4.708
_cell_length_c 4.735
_cell_angle_alpha 109.53
_cell_angle_beta 90.00
_cell_angle_gamma 90.00
_symmetry_space_group_name_H-M 'P 1'
_symmetry_Int_Tables_number 1
loop_
_symmetry_equiv_pos_as_xyz
'x,y,z'
loop_
_atom_site_label
_atom_site_type_symbol
_atom_site_fract_x
_atom_site_fract_y
_atom_site_fract_z
_atom_site_occupancy
Ir1 Ir 0.000 0.500 0.500 1
Rh1 Rh 0.500 0.500 0.000 1
Pt1 Pt 0.000 0.000 0.000 1
Pt2 Pt 0.500 0.000 0.500 1
# - density of states at the Fermi level (states/eV/cell) = 5.89


Version 3
# IrPt2Rh, optimized geometry, DFT PBEsol
data_IrPt2Rh
_cell_length_a 4.361
_cell_length_b 4.361
_cell_length_c 4.361
_cell_angle_alpha 60.00
_cell_angle_beta 60.00
_cell_angle_gamma 60.00
_symmetry_space_group_name_H-M 'P 1'
_symmetry_Int_Tables_number 1
loop_
_symmetry_equiv_pos_as_xyz
'x,y,z'
loop_
_atom_site_label
_atom_site_type_symbol
_atom_site_fract_x
_atom_site_fract_y
_atom_site_fract_z
_atom_site_occupancy
Ir1 Ir 0.000 0.000 0.000 1
Pt1 Pt 0.250 0.250 0.250 1
Pt2 Pt 0.750 0.750 0.750 1
Rh1 Rh 0.500 0.500 0.500 1
# - density of states at the Fermi level (states/eV/cell) = 6.35


Most stable: version 2 (next structure +7 meV per atom)


Version 1
# IrPt2Rh, optimized geometry, DFT PBEsol
data_IrPt2Rh
_cell_length_a 2.722
_cell_length_b 2.722
_cell_length_c 7.763
_cell_angle_alpha 90.00
_cell_angle_beta 90.00
_cell_angle_gamma 90.00
_symmetry_space_group_name_H-M 'P 1'
_symmetry_Int_Tables_number 1
loop_
_symmetry_equiv_pos_as_xyz
'x,y,z'
loop_
_atom_site_label
_atom_site_type_symbol
_atom_site_fract_x
_atom_site_fract_y
_atom_site_fract_z
_atom_site_occupancy
Ir1 Ir 0.500 0.500 0.741 1
Rh1 Rh 0.000 0.000 0.509 1
Pt1 Pt 0.000 0.000 0.993 1
Pt2 Pt 0.500 0.500 0.257 1
# - density of states at the Fermi level (states/eV/cell) = 4.41


Version 2
# IrPt2Rh, optimized geometry, DFT PBEsol
data_IrPt2Rh
_cell_length_a 2.738
_cell_length_b 3.846
_cell_length_c 5.448
_cell_angle_alpha 90.00
_cell_angle_beta 90.00
_cell_angle_gamma 90.00
_symmetry_space_group_name_H-M 'P 1'
_symmetry_Int_Tables_number 1
loop_
_symmetry_equiv_pos_as_xyz
'x,y,z'
loop_
_atom_site_label
_atom_site_type_symbol
_atom_site_fract_x
_atom_site_fract_y
_atom_site_fract_z
_atom_site_occupancy
Ir1 Ir 0.500 0.500 0.500 1
Rh1 Rh 0.500 0.500 0.000 1
Pt1 Pt 0.000 0.000 0.749 1
Pt2 Pt 0.000 0.000 0.251 1
# - density of states at the Fermi level (states/eV/cell) = 6.00


Version 3
# IrPt2Rh, optimized geometry, DFT PBEsol
data_IrPt2Rh
_cell_length_a 2.728
_cell_length_b 2.728
_cell_length_c 9.061
_cell_angle_alpha 81.34
_cell_angle_beta 81.34
_cell_angle_gamma 60.00
_symmetry_space_group_name_H-M 'P 1'
_symmetry_Int_Tables_number 1
loop_
_symmetry_equiv_pos_as_xyz
'x,y,z'
loop_
_atom_site_label
_atom_site_type_symbol
_atom_site_fract_x
_atom_site_fract_y
_atom_site_fract_z
_atom_site_occupancy
Ir1 Ir 0.248 0.248 0.257 1
Rh1 Rh 0.502 0.502 0.494 1
Pt1 Pt 0.998 0.998 0.005 1
Pt2 Pt 0.752 0.752 0.744 1
# - density of states at the Fermi level (states/eV/cell) = 5.33


Most stable: version 1 (next structure +12 meV per atom)